Record 1
A plane-wave DFT calculation with GGA-PBE was carried out for an optimized crystal structure of InRu2Pt.

The value obtained for the formation energy is 0.62 eV/atom.

Cell: 7.332 7.332 5.817 Å, 50.94 50.94 90.00°
Fractional coordinates of all 8 atoms:
Pt1 0.750 0.250 0.500
Pt2 0.000 0.000 0.000
Ru1 0.642 0.125 0.250
Ru2 0.108 0.625 0.250
Ru3 0.875 0.892 0.750
Ru4 0.375 0.358 0.750
In1 0.500 0.500 0.000
In2 0.250 0.750 0.500

***

Record 2
A plane-wave DFT calculation with GGA-PBE was carried out for an optimized crystal structure of InRu2Pt.

The value obtained for the formation energy is 0.05 eV/atom.

Cell: 4.817 4.817 4.877 Å, 80.70 80.70 34.68°
Fractional coordinates of all 4 atoms:
Ru1 0.743 0.743 0.785
Ru2 0.004 0.004 0.975
Pt1 0.254 0.254 0.252
In1 0.499 0.499 0.489

***

Record 3
A plane-wave DFT calculation with GGA-PBE was carried out for an optimized crystal structure of InRuPt2.

The value obtained for the formation energy is 0.01 eV/atom.

Cell: 4.541 4.541 4.541 Å, 60.00 60.00 60.00°
Fractional coordinates of all 4 atoms:
Pt1 0.000 0.000 0.000
Pt2 0.750 0.750 0.750
Ru1 0.250 0.250 0.250
In1 0.500 0.500 0.500

***

Record 4
A plane-wave DFT calculation with GGA-PBE was carried out for an optimized crystal structure of InRuPt.

The value obtained for the formation energy is 0.14 eV/atom. For the energy above the most stable polymorph in this dataset, the calculation gives 121 meV/atom.

Cell: 2.949 2.949 6.669 Å, 90.00 90.00 120.00°
Fractional coordinates of all 3 atoms:
Ru1 0.333 0.667 0.663
Pt1 0.667 0.333 0.340
In1 0.000 0.000 0.997

***

Record 5
A plane-wave DFT calculation with GGA-PBE was carried out for an optimized crystal structure of InRuPt2.

The value obtained for the formation energy is 0.08 eV/atom.

Cell: 9.172 9.172 9.172 Å, 18.20 18.20 18.20°
Fractional coordinates of all 4 atoms:
Ru1 0.250 0.250 0.250
Pt1 0.997 0.997 0.997
Pt2 0.503 0.503 0.503
In1 0.750 0.750 0.750

***

Record 6
A plane-wave DFT calculation with GGA-PBE was carried out for an optimized crystal structure of InRuPt2.

The value obtained for the formation energy is -0.07 eV/atom.

Cell: 4.840 4.840 4.840 Å, 129.95 129.95 73.49°
Fractional coordinates of all 4 atoms:
In1 0.750 0.250 0.500
Pt1 0.250 0.750 0.500
Pt2 0.000 0.000 0.000
Ru1 0.500 0.500 0.000

***

Record 7
A plane-wave DFT calculation with GGA-PBE was carried out for an optimized crystal structure of InRu2Pt.

The value obtained for the formation energy is 0.25 eV/atom.

Cell: 4.514 4.514 4.514 Å, 60.00 60.00 60.00°
Fractional coordinates of all 4 atoms:
In1 0.500 0.500 0.500
Ru1 0.000 0.000 0.000
Ru2 0.250 0.250 0.250
Pt1 0.750 0.750 0.750

***

Record 8
A plane-wave DFT calculation with GGA-PBE was carried out for an optimized crystal structure of InRu2Pt.

The value obtained for the formation energy is 0.22 eV/atom.

Cell: 2.919 4.666 4.727 Å, 90.00 90.00 90.00°
Fractional coordinates of all 4 atoms:
Ru1 0.500 0.500 0.000
Ru2 0.000 0.000 0.000
Pt1 0.000 0.500 0.500
In1 0.500 0.000 0.500

***

Record 9
A plane-wave DFT calculation with GGA-PBE was carried out for an optimized crystal structure of InRuPt.

The value obtained for the formation energy is 0.21 eV/atom. For the energy above the most stable polymorph in this dataset, the calculation gives 192 meV/atom.

Cell: 4.389 4.389 4.389 Å, 60.00 60.00 60.00°
Fractional coordinates of all 3 atoms:
Pt1 0.750 0.750 0.750
Ru1 0.000 0.000 0.000
In1 0.500 0.500 0.500

***

Record 10
A plane-wave DFT calculation with GGA-PBE was carried out for an optimized crystal structure of InRu2Pt.

The value obtained for the formation energy is 0.10 eV/atom.

Cell: 4.826 4.826 4.826 Å, 130.75 130.75 72.22°
Fractional coordinates of all 4 atoms:
In1 0.250 0.750 0.500
Ru1 0.000 0.000 0.000
Ru2 0.500 0.500 0.000
Pt1 0.750 0.250 0.500

***

Record 11
A plane-wave DFT calculation with GGA-PBE was carried out for an optimized crystal structure of InRuPt.

The value obtained for the formation energy is 0.02 eV/atom. For the energy above the most stable polymorph in this dataset, the calculation gives 0 meV/atom.

Cell: 6.186 6.186 2.920 Å, 76.35 76.35 27.31°
Fractional coordinates of all 3 atoms:
Ru1 0.671 0.671 0.329
In1 0.003 0.003 0.997
Pt1 0.326 0.326 0.674

***

Record 12
A plane-wave DFT calculation with GGA-PBE was carried out for an optimized crystal structure of InRuPt2.

The value obtained for the formation energy is -0.05 eV/atom.

Cell: 2.888 2.888 7.838 Å, 90.00 90.00 90.00°
Fractional coordinates of all 4 atoms:
Pt1 0.000 0.000 0.489
Pt2 0.000 0.000 0.011
Ru1 0.500 0.500 0.250
In1 0.500 0.500 0.750

***

Record 13
A plane-wave DFT calculation with GGA-PBE was carried out for an optimized crystal structure of InRu2Pt2.

The value obtained for the formation energy is 0.20 eV/atom.

Cell: 6.861 6.861 3.599 Å, 90.00 90.00 90.00°
Fractional coordinates of all 10 atoms:
Pt1 0.164 0.664 0.500
Pt2 0.836 0.336 0.500
Pt3 0.336 0.164 0.500
Pt4 0.664 0.836 0.500
Ru1 0.373 0.873 0.000
Ru2 0.627 0.127 0.000
Ru3 0.873 0.627 0.000
Ru4 0.127 0.373 0.000
In1 0.500 0.500 0.000
In2 0.000 0.000 0.000

***

Record 14
A plane-wave DFT calculation with GGA-PBE was carried out for an optimized crystal structure of InRu2Pt.

The value obtained for the formation energy is 0.14 eV/atom.

Cell: 4.000 3.980 3.980 Å, 90.00 90.00 90.00°
Fractional coordinates of all 4 atoms:
In1 0.500 0.500 0.000
Pt1 0.500 0.000 0.500
Ru1 0.000 0.000 0.000
Ru2 0.000 0.500 0.500

***

Record 15
A plane-wave DFT calculation with GGA-PBE was carried out for an optimized crystal structure of InRuPt2.

The value obtained for the formation energy is 0.25 eV/atom.

Cell: 3.895 3.895 9.767 Å, 78.50 78.50 90.00°
Fractional coordinates of all 8 atoms:
Pt1 0.139 0.625 0.250
Pt2 0.875 0.861 0.750
Pt3 0.611 0.125 0.250
Pt4 0.375 0.389 0.750
In1 0.750 0.250 0.500
In2 0.000 0.000 0.000
Ru1 0.250 0.750 0.500
Ru2 0.500 0.500 0.000

***

Record 16
A plane-wave DFT calculation with GGA-PBE was carried out for an optimized crystal structure of InRuPt2.

The value obtained for the formation energy is -0.08 eV/atom.

Cell: 4.865 4.865 4.952 Å, 79.45 79.45 34.54°
Fractional coordinates of all 4 atoms:
In1 0.753 0.753 0.757
Pt1 0.245 0.245 0.266
Pt2 0.002 0.002 0.001
Ru1 0.500 0.500 0.476

***

Record 17
A plane-wave DFT calculation with GGA-PBE was carried out for an optimized crystal structure of InRu2Pt.

The value obtained for the formation energy is 0.14 eV/atom.

Cell: 9.138 9.138 9.138 Å, 18.05 18.05 18.05°
Fractional coordinates of all 4 atoms:
Ru1 0.996 0.996 0.996
Ru2 0.255 0.255 0.255
In1 0.502 0.502 0.502
Pt1 0.747 0.747 0.747

***

Record 18
A plane-wave DFT calculation with GGA-PBE was carried out for an optimized crystal structure of InRu2Pt.

The value obtained for the formation energy is -0.02 eV/atom.

Cell: 2.856 2.856 7.792 Å, 90.00 90.00 90.00°
Fractional coordinates of all 4 atoms:
Ru1 0.000 0.000 0.018
Ru2 0.500 0.500 0.227
In1 0.000 0.000 0.494
Pt1 0.500 0.500 0.762

***

Record 19
A plane-wave DFT calculation with GGA-PBE was carried out for an optimized crystal structure of InRuPt2.

The value obtained for the formation energy is -0.05 eV/atom.

Cell: 4.876 4.876 4.797 Å, 79.67 79.67 35.69°
Fractional coordinates of all 4 atoms:
Pt1 0.996 0.996 0.014
Pt2 0.504 0.504 0.486
Ru1 0.250 0.250 0.250
In1 0.750 0.750 0.750

***

Record 20
A plane-wave DFT calculation with GGA-PBE was carried out for an optimized crystal structure of InRu2Pt.

The value obtained for the formation energy is 0.18 eV/atom.

Cell: 2.871 2.871 7.693 Å, 90.00 90.00 89.98°
Fractional coordinates of all 4 atoms:
Ru1 0.000 0.000 0.987
Ru2 0.000 0.000 0.513
Pt1 0.500 0.500 0.750
In1 0.500 0.500 0.250

***

Record 21
A plane-wave DFT calculation with GGA-PBE was carried out for an optimized crystal structure of InRu2Pt.

The value obtained for the formation energy is 0.04 eV/atom.

Cell: 4.842 4.842 4.842 Å, 131.13 131.17 71.57°
Fractional coordinates of all 4 atoms:
Ru1 0.750 0.250 0.500
Ru2 0.000 0.000 0.000
Pt1 0.250 0.750 0.500
In1 0.500 0.500 0.000

***

Record 22
A plane-wave DFT calculation with GGA-PBE was carried out for an optimized crystal structure of Sc4InRu2Pt.

The value obtained for the formation energy is -0.71 eV/atom.

Cell: 4.669 4.669 8.138 Å, 73.33 73.33 60.00°
Fractional coordinates of all 8 atoms:
Sc1 0.129 0.129 0.614
Sc2 0.871 0.871 0.386
Sc3 0.380 0.380 0.859
Sc4 0.620 0.620 0.141
Pt1 0.500 0.500 0.500
In1 0.000 0.000 0.000
Ru1 0.251 0.251 0.248
Ru2 0.749 0.749 0.752

***

Record 23
A plane-wave DFT calculation with GGA-PBE was carried out for an optimized crystal structure of InRuPt2Se.

For the uncorrected formation energy, the calculation gives 1.497 eV per atom.

Cell: 4.963 5.069 4.963 Å, 90.00 90.00 90.00°
Fractional coordinates of all 5 atoms:
In1 0.000 0.000 0.000
Pt1 0.000 0.000 0.500
Pt2 0.500 0.000 0.000
Se1 0.000 0.500 0.000
Ru1 0.500 0.500 0.500

***

Record 24
A plane-wave DFT calculation with GGA-PBE was carried out for an optimized crystal structure of Tb5In2Ru2Pt.

The value obtained for the formation energy is -0.51 eV/atom.

Cell: 3.541 11.711 11.711 Å, 90.00 90.00 90.00°
Fractional coordinates of all 20 atoms:
In1 0.000 0.320 0.820
In2 0.000 0.820 0.680
In3 0.000 0.180 0.320
In4 0.000 0.680 0.180
Ru1 0.000 0.137 0.637
Ru2 0.000 0.363 0.137
Ru3 0.000 0.863 0.363
Ru4 0.000 0.637 0.863
Pt1 0.000 0.500 0.500
Pt2 0.000 0.000 0.000
Tb1 0.500 0.933 0.199
Tb2 0.500 0.699 0.433
Tb3 0.500 0.500 0.000
Tb4 0.500 0.199 0.067
Tb5 0.500 0.067 0.801
Tb6 0.500 0.000 0.500
Tb7 0.500 0.433 0.301
Tb8 0.500 0.801 0.933
Tb9 0.500 0.567 0.699
Tb10 0.500 0.301 0.567

***

Record 25
A plane-wave DFT calculation with GGA-PBE was carried out for an optimized crystal structure of TiInRu2Pt.

The value obtained for the formation energy is 1.41 eV/atom.

Cell: 4.990 4.898 4.990 Å, 90.00 90.00 90.00°
Fractional coordinates of all 5 atoms:
Ti1 0.500 0.500 0.500
Ru1 0.000 0.000 0.500
Ru2 0.500 0.000 0.000
In1 0.000 0.500 0.000
Pt1 0.000 0.000 0.000

***

Record 26
A plane-wave DFT calculation with GGA-PBE was carried out for an optimized crystal structure of TmInRuPt.

The value obtained for the formation energy is -0.62 eV/atom.

Cell: 4.694 4.694 4.694 Å, 60.00 60.00 60.00°
Fractional coordinates of all 4 atoms:
Pt1 0.750 0.750 0.750
Ru1 0.250 0.250 0.250
In1 0.500 0.500 0.500
Tm1 0.000 0.000 0.000

***

Record 27
A plane-wave DFT calculation with GGA-PBE was carried out for an optimized crystal structure of Tm4InRu2Pt.

The value obtained for the formation energy is -0.63 eV/atom.

Cell: 4.890 4.890 8.506 Å, 73.29 73.29 60.00°
Fractional coordinates of all 8 atoms:
Ru1 0.748 0.748 0.755
Ru2 0.252 0.252 0.245
Tm1 0.380 0.380 0.859
Tm2 0.129 0.129 0.612
Tm3 0.620 0.620 0.141
Tm4 0.871 0.871 0.388
In1 0.000 0.000 0.000
Pt1 0.500 0.500 0.500

***

Record 28
A plane-wave DFT calculation with GGA-PBE was carried out for an optimized crystal structure of In3PtS.

For the energy above the most stable polymorph in this dataset, the calculation gives 696 meV/atom. For the uncorrected formation energy, the calculation gives 0.504 eV per atom.

Cell: 5.136 5.136 5.136 Å, 90.00 90.00 90.00°
Fractional coordinates of all 5 atoms:
In1 0.500 0.000 0.000
In2 0.000 0.500 0.000
In3 0.000 0.000 0.500
S1 0.000 0.000 0.000
Pt1 0.500 0.500 0.500

***

no.,total moment (μB/cell)
1,2.293
2,0.000
3,1.835
4,0.644
5,0.003
6,0.000
7,2.625
8,1.396
9,2.070
10,0.000
11,0.000
12,1.105
13,0.000
14,0.002
15,0.000
16,0.001
17,0.000
18,0.000
19,0.000
20,0.000
21,0.000
22,0.000
23,3.018
24,0.000
25,4.936
26,0.000
27,0.000
28,0.000